## Sm2Dy2Y4Sc (GGA-PBE)

Data for a relaxed Sm2Dy2Y4Sc crystal.

Lattice parameters (Å, degrees): 9.441 9.441 9.496 115.10 115.10 21.86
Positions (direct):
Sm 0.164 0.164 0.497
Sm 0.836 0.836 0.503
Dy 0.352 0.352 0.835
Dy 0.648 0.648 0.165
Y 0.019 0.019 0.830
Y 0.315 0.315 0.168
Y 0.685 0.685 0.832
Y 0.981 0.981 0.170
Sc 0.500 0.500 0.500

Computed properties:
N(E_F), states/eV/cell: 13.00
Crystal system: monoclinic
Total DFT energy (no corrections), eV per atom: -5.634
DFT formation energy, eV per atom: 0.0143
Space group: No. 12
Density, g/cm³: 6.0

## Sm2Dy2YSc (GGA-PBE)

Data for a relaxed Sm2Dy2YSc crystal.

Lattice parameters (Å, degrees): 6.429 6.934 8.803 90.00 104.15 90.00
Positions (direct):
Sm 0.145 0.250 0.348
Sm 0.204 0.750 0.995
Sm 0.796 0.250 0.005
Sm 0.855 0.750 0.652
Dy 0.399 0.000 0.695
Dy 0.399 0.500 0.695
Dy 0.601 0.000 0.305
Dy 0.601 0.500 0.305
Y 0.102 0.750 0.350
Y 0.898 0.250 0.650
Sc 0.302 0.250 0.998
Sc 0.698 0.750 0.002

Computed properties:
N(E_F), states/eV/cell: 20.19
Crystal system: monoclinic
Total DFT energy (no corrections), eV per atom: -5.119
DFT formation energy, eV per atom: 0.1210
Space group: No. 11
Density, g/cm³: 6.6

## Sm4DyY2Sc (GGA-PBE)

Data for a relaxed Sm4DyY2Sc crystal.

Lattice parameters (Å, degrees): 5.039 5.064 9.972 90.00 90.01 90.00
Positions (direct):
Sm 0.001 0.000 0.255
Sm 0.498 0.500 0.745
Sm 0.502 0.500 0.255
Sm 0.999 0.000 0.745
Dy 0.500 0.000 0.000
Y 0.000 0.500 0.000
Y 0.500 0.000 0.500
Sc 0.000 0.500 0.500

Computed properties:
N(E_F), states/eV/cell: 11.74
Crystal system: monoclinic
Total DFT energy (no corrections), eV per atom: -5.320
DFT formation energy, eV per atom: 0.0223
Space group: No. 10
Density, g/cm³: 6.4

## SmDyScZn (GGA-PBE)

Data for a relaxed SmDyScZn crystal.

Lattice parameters (Å, degrees): 5.250 5.250 5.250 60.00 60.00 60.00
Positions (direct):
Sm 0.000 0.000 0.000
Dy 0.500 0.500 0.500
Sc 0.750 0.750 0.750
Zn 0.250 0.250 0.250

Computed properties:
N(E_F), states/eV/cell: 4.51
Crystal system: cubic
Total DFT energy (no corrections), eV per atom: -4.242
DFT formation energy, eV per atom: -0.0101
Space group: No. 216
Density, g/cm³: 6.9

## SmDyScZn (GGA-PBE)

Data for a relaxed SmDyScZn crystal.

Lattice parameters (Å, degrees): 3.485 3.485 8.493 90.00 90.00 90.00
Positions (direct):
Sm 0.000 0.000 0.000
Dy 0.500 0.500 0.689
Sc 0.500 0.500 0.287
Zn 0.000 0.000 0.462

Computed properties:
N(E_F), states/eV/cell: 4.15
Crystal system: tetragonal
Total DFT energy (no corrections), eV per atom: -4.382
DFT formation energy, eV per atom: -0.1508
Space group: No. 99
Density, g/cm³: 6.8

## SmDyZrSc (GGA-PBE)

Data for a relaxed SmDyZrSc crystal.

Lattice parameters (Å, degrees): 5.388 5.388 5.388 60.00 60.00 60.00
Positions (direct):
Sm 0.000 0.000 0.000
Dy 0.250 0.250 0.250
Zr 0.500 0.500 0.500
Sc 0.750 0.750 0.750

Computed properties:
N(E_F), states/eV/cell: 8.04
Crystal system: cubic
Total DFT energy (no corrections), eV per atom: -5.849
DFT formation energy, eV per atom: 0.2017
Space group: No. 216
Density, g/cm³: 6.7

- Among the records above, which one has the highest DFT formation energy?
  SmDyZrSc